1.
Computed, not measured: a relaxed structure of Sm2ZnPt at the PBE-GGA level of DFT.

Structure (CIF):
```
data_Sm2ZnPt
_chemical_formula_sum 'Sm2 Zn1 Pt1'
_symmetry_space_group_name_H-M 'P 1'
_symmetry_Int_Tables_number 1
_cell_length_a 3.6323
_cell_length_b 3.6323
_cell_length_c 7.1015
_cell_angle_alpha 90.00
_cell_angle_beta 90.00
_cell_angle_gamma 90.00
loop_
_symmetry_equiv_pos_as_xyz
'x,y,z'
loop_
_atom_site_label
_atom_site_fract_x
_atom_site_fract_y
_atom_site_fract_z
Sm1 0.0000 0.0000 0.2413
Sm2 0.0000 0.0000 0.7587
Zn1 0.5000 0.5000 0.5000
Pt1 0.5000 0.5000 0.0000
```

Calculated values
Formation energy: -726 meV/atom
Crystal system: tetragonal

***

2.
Computed, not measured: a relaxed structure of TcTeSe2N at the PBE-GGA level of DFT.

Structure (CIF):
```
data_TcTeSe2N
_chemical_formula_sum 'Tc1 Te1 Se2 N1'
_symmetry_space_group_name_H-M 'P 1'
_symmetry_Int_Tables_number 1
_cell_length_a 5.1002
_cell_length_b 5.1002
_cell_length_c 3.7611
_cell_angle_alpha 90.00
_cell_angle_beta 90.00
_cell_angle_gamma 90.00
loop_
_symmetry_equiv_pos_as_xyz
'x,y,z'
loop_
_atom_site_label
_atom_site_fract_x
_atom_site_fract_y
_atom_site_fract_z
Tc1 0.0000 0.0000 0.0000
Te1 0.5000 0.5000 0.5000
Se1 0.0000 0.5000 0.0000
Se2 0.5000 0.0000 0.0000
N1 0.0000 0.0000 0.5000
```

Calculated values
Uncorrected formation energy: 0.296 eV per atom
Crystal system: tetragonal

***

3.
Computed, not measured: a relaxed structure of MgCr2Te at the PBE-GGA level of DFT.

Structure (CIF):
```
data_MgCr2Te
_chemical_formula_sum 'Mg1 Cr2 Te1'
_symmetry_space_group_name_H-M 'P 1'
_symmetry_Int_Tables_number 1
_cell_length_a 5.2749
_cell_length_b 5.2749
_cell_length_c 5.2749
_cell_angle_alpha 132.51
_cell_angle_beta 132.26
_cell_angle_gamma 69.62
loop_
_symmetry_equiv_pos_as_xyz
'x,y,z'
loop_
_atom_site_label
_atom_site_fract_x
_atom_site_fract_y
_atom_site_fract_z
Mg1 0.0000 0.0000 0.0000
Cr1 0.2509 0.7509 0.5000
Cr2 0.7491 0.2491 0.5000
Te1 0.5000 0.5000 0.0000
```

Calculated values
Uncorrected formation energy: 0.436 eV per atom
Crystal system: orthorhombic

***

Copy entry 2 word for word.
Computed, not measured: a relaxed structure of TcTeSe2N at the PBE-GGA level of DFT.

Structure (CIF):
```
data_TcTeSe2N
_chemical_formula_sum 'Tc1 Te1 Se2 N1'
_symmetry_space_group_name_H-M 'P 1'
_symmetry_Int_Tables_number 1
_cell_length_a 5.1002
_cell_length_b 5.1002
_cell_length_c 3.7611
_cell_angle_alpha 90.00
_cell_angle_beta 90.00
_cell_angle_gamma 90.00
loop_
_symmetry_equiv_pos_as_xyz
'x,y,z'
loop_
_atom_site_label
_atom_site_fract_x
_atom_site_fract_y
_atom_site_fract_z
Tc1 0.0000 0.0000 0.0000
Te1 0.5000 0.5000 0.5000
Se1 0.0000 0.5000 0.0000
Se2 0.5000 0.0000 0.0000
N1 0.0000 0.0000 0.5000
```

Calculated values
Uncorrected formation energy: 0.296 eV per atom
Crystal system: tetragonal

***

Repeat the first record exactly.
Computed, not measured: a relaxed structure of Sm2ZnPt at the PBE-GGA level of DFT.

Structure (CIF):
```
data_Sm2ZnPt
_chemical_formula_sum 'Sm2 Zn1 Pt1'
_symmetry_space_group_name_H-M 'P 1'
_symmetry_Int_Tables_number 1
_cell_length_a 3.6323
_cell_length_b 3.6323
_cell_length_c 7.1015
_cell_angle_alpha 90.00
_cell_angle_beta 90.00
_cell_angle_gamma 90.00
loop_
_symmetry_equiv_pos_as_xyz
'x,y,z'
loop_
_atom_site_label
_atom_site_fract_x
_atom_site_fract_y
_atom_site_fract_z
Sm1 0.0000 0.0000 0.2413
Sm2 0.0000 0.0000 0.7587
Zn1 0.5000 0.5000 0.5000
Pt1 0.5000 0.5000 0.0000
```

Calculated values
Formation energy: -726 meV/atom
Crystal system: tetragonal